Density functional theory data (PBEsol) for a relaxed structure of LaPtAu.

abc: 3.622 4.632 4.632
angles: 120.00 90.00 90.00
Fractional positions:
Pt (0.167, 0.333, 0.667)
Au (0.167, 0.000, 0.000)
La (0.667, 0.667, 0.333)

The calculation puts the energy of formation at -821 meV per atom. Its space group is No. 187. For the density of states at the Fermi level, the calculation gives 1.37 states/eV per cell. For the total energy, the calculation gives -18.7 eV for the cell shown.



Density functional theory data (PBEsol) for a relaxed structure of La2Pt2Au.

abc: 3.892 7.672 7.672
angles: 90.00 90.00 90.00
Fractional positions:
La (0.500, 0.327, 0.173)
La (0.500, 0.173, 0.673)
La (0.500, 0.673, 0.827)
La (0.500, 0.827, 0.327)
Pt (0.000, 0.369, 0.869)
Pt (0.000, 0.869, 0.631)
Pt (0.000, 0.131, 0.369)
Pt (0.000, 0.631, 0.131)
Au (0.000, 0.500, 0.500)
Au (0.000, 0.000, 0.000)

The calculation puts the energy of formation at -984 meV per atom. Its space group is No. 127. For the density of states at the Fermi level, the calculation gives 6.26 states/eV per cell. For the total energy, the calculation gives -66.9 eV for the cell shown.



Density functional theory data (PBEsol) for a relaxed structure of LaPtAu.

abc: 4.710 4.710 4.710
angles: 60.00 60.00 60.00
Fractional positions:
La (0.500, 0.500, 0.500)
Au (0.000, 0.000, 0.000)
Pt (0.250, 0.250, 0.250)

The calculation puts the energy of formation at -764 meV per atom. Its space group is No. 216. For the density of states at the Fermi level, the calculation gives 1.05 states/eV per cell. For the total energy, the calculation gives -18.5 eV for the cell shown.